Computed, not measured: a geometry-optimized Na2CuBr3 structure at the PBE level of DFT.

a b c (Å): 4.351 13.530 6.320
angles (deg): 90.00 90.00 90.00
Space group Imm2 (No. 44)
Symmetry-distinct sites (fractional):
Na 0.000 0.161 0.000 x4
Cu 0.000 0.500 0.008 x2
Br 0.000 0.000 0.706 x2
Br 0.000 0.347 0.787 x4

Computed properties:
Electronic total energy   -3.02 eV/atom

=====

Computed, not measured: a geometry-optimized Na2CuBr2 structure at the PBE level of DFT.

a b c (Å): 8.367 8.367 3.625
angles (deg): 90.00 90.00 90.00
Space group P4/mbm (No. 127)
Symmetry-distinct sites (fractional):
Na 0.145 0.355 0.000 x4
Cu 0.000 0.000 0.000 x2
Br 0.157 0.657 0.500 x4

Computed properties:
Electronic total energy   -2.59 eV/atom

=====

Computed, not measured: a geometry-optimized Na2CuBr structure at the PBE level of DFT.

a b c (Å): 7.362 7.362 7.362
angles (deg): 90.00 90.00 90.00
Space group Fm-3m (No. 225)
Symmetry-distinct sites (fractional):
Na 0.250 0.250 0.250 x8
Cu 0.000 0.000 0.000 x4
Br 0.000 0.000 0.500 x4

Computed properties:
Electronic total energy   -2.45 eV/atom

=====

Computed, not measured: a geometry-optimized Na3CuBr4 structure at the PBE level of DFT.

a b c (Å): 6.451 6.451 12.437
angles (deg): 90.00 90.00 90.00
Space group I-42m (No. 121)
Symmetry-distinct sites (fractional):
Na 0.000 0.000 0.000 x2
Na 0.000 0.500 0.250 x4
Cu 0.000 0.000 0.500 x2
Br 0.225 0.225 0.386 x8

Computed properties:
Electronic total energy   -3.02 eV/atom

=====

Computed, not measured: a geometry-optimized NaCu5Br8 structure at the PBE level of DFT.

a b c (Å): 11.087 11.087 11.087
angles (deg): 90.00 90.00 90.00
Space group F-43m (No. 216)
Symmetry-distinct sites (fractional):
Na 0.000 0.000 0.000 x4
Cu 0.125 0.125 0.625 x16
Cu 0.250 0.250 0.250 x4
Br 0.119 0.119 0.381 x16
Br 0.139 0.139 0.861 x16

Computed properties:
Electronic total energy   -2.90 eV/atom

=====

Computed, not measured: a geometry-optimized Na2CuBr3 structure at the PBE level of DFT.

a b c (Å): 11.736 4.065 13.391
angles (deg): 90.00 90.00 90.00
Space group Pnma (No. 62)
Symmetry-distinct sites (fractional):
Na 0.001 0.250 0.248 x4
Na 0.248 0.250 0.481 x4
Cu 0.249 0.250 0.774 x4
Br 0.085 0.750 0.388 x4
Br 0.086 0.250 0.890 x4
Br 0.249 0.750 0.664 x4

Computed properties:
Electronic total energy   -3.05 eV/atom

=====

Number 1: D(E_F) 0.00 states/eV/f.u., formation energy without anion corrections -1065.0 meV/atom. Number 2: D(E_F) 1.81 states/eV/f.u., formation energy without anion corrections -576.0 meV/atom. Number 3: D(E_F) 0.00 states/eV/f.u., formation energy without anion corrections -347.9 meV/atom. Number 4: D(E_F) 0.00 states/eV/f.u., formation energy without anion corrections -1173.4 meV/atom. Number 5: D(E_F) 18.66 states/eV/f.u., formation energy without anion corrections -382.7 meV/atom. Number 6: D(E_F) 0.00 states/eV/f.u., formation energy without anion corrections -1092.9 meV/atom.